A plane-wave DFT calculation with PBEsol was carried out for a relaxed Y2NiAu crystal.

E_form in meV per atom: -577

Cell lengths 4.8810, 4.8810, 3.4574 Å; angles 90.00, 90.00, 90.00 degrees
Closest atoms and distances in Å follow each position.
Space group P4/mmm (No. 123)
Asymmetric unit:
Y (0.0000, 0.5000, 0.0000) [2 per cell]  4 Ni 2.99, 4 Au 2.99
Ni (0.0000, 0.0000, 0.5000) [1 per cell]  8 Y 2.99
Au (0.5000, 0.5000, 0.5000) [1 per cell]  8 Y 2.99



A plane-wave DFT calculation with PBEsol was carried out for a relaxed CaSb crystal.

Formation energy without anion corrections in eV/f.u.: -1.61

Cell lengths 5.1435, 5.1435, 7.4127 Å; angles 90.00, 90.00, 120.00 degrees
Closest atoms and distances in Å follow each position.
Space group R-3m (No. 166, hexagonal axes)
Asymmetric unit:
Ca (0.0000, 0.0000, 0.0000) [3 per cell]  6 Sb 3.22
Sb (0.0000, 0.0000, 0.5000) [3 per cell]  6 Ca 3.22



A plane-wave DFT calculation with PBEsol was carried out for a relaxed AgBr2 crystal.

Formation energy without anion corrections in eV/f.u.: 0.56

Cell lengths 5.2278, 5.2278, 2.8478 Å; angles 90.00, 90.00, 120.00 degrees
Closest atoms and distances in Å follow each position.
Space group P-3m1 (No. 164)
Asymmetric unit:
Ag (0.0000, 0.0000, 0.0000) [1 per cell]  2 Ag 2.85, 6 Br 3.10
Br (0.3333, 0.6667, 0.7582) [2 per cell]  2 Br 2.85, 3 Ag 3.10



| no. | N(E_F) (states/eV/f.u.) | electronic total energy (eV/atom) |
| --- | --- | --- |
| 1 | 2.84 | -6.51 |
| 2 | 1.02 | -4.15 |
| 3 | 0.68 | -2.16 |